(1)
# K3RhBr8 | Alexandria via LeMat-Bulk | GGA-PBE | relaxed
data_K3RhBr8
_cell_length_a 8.1483
_cell_length_b 8.1483
_cell_length_c 12.0224
_cell_angle_alpha 90.00
_cell_angle_beta 90.00
_cell_angle_gamma 90.00
_space_group_name_H-M_alt 'I 4/m m m'
_space_group_IT_number 139
_space_group_name_Hall '-I 4 2'
loop_
_atom_site_label
_atom_site_type_symbol
_atom_site_fract_x
_atom_site_fract_y
_atom_site_fract_z
_atom_site_occupancy
K1 K 0.0000 0.0000 0.0000 1
K2 K 0.0000 0.5000 0.2500 1
Rh1 Rh 0.0000 0.0000 0.5000 1
Br1 Br 0.2037 0.2037 0.3708 1
# Calculated total energy, eV/atom: -2.71
# Uncorrected formation energy, eV/f.u.: -8.47
# DOS(E_F), states/eV per cell: 7.11
# M_tot, μB per cell: 0.4

=====

(2)
# K2RhBr5 | Alexandria via LeMat-Bulk | GGA-PBE | relaxed
data_K2RhBr5
_cell_length_a 7.7088
_cell_length_b 7.7088
_cell_length_c 9.2360
_cell_angle_alpha 90.00
_cell_angle_beta 90.00
_cell_angle_gamma 90.00
_space_group_name_H-M_alt 'I 4 m m'
_space_group_IT_number 107
_space_group_name_Hall 'I 4 -2'
loop_
_atom_site_label
_atom_site_type_symbol
_atom_site_fract_x
_atom_site_fract_y
_atom_site_fract_z
_atom_site_occupancy
K1 K 0.0000 0.5000 0.0000 1
Rh1 Rh 0.0000 0.0000 0.2353 1
Br1 Br 0.0000 0.0000 0.9770 1
Br2 Br 0.2282 0.2282 0.2523 1
# Calculated total energy, eV/atom: -3.24
# Uncorrected formation energy, eV/f.u.: -7.99
# Offset from the most stable computed form, meV/atom: 0
# M_tot, μB per cell: 0.0

=====

(3)
# K3Rh2Br9 | Alexandria via LeMat-Bulk | GGA-PBE | relaxed
data_K3Rh2Br9
_cell_length_a 12.0812
_cell_length_b 12.0812
_cell_length_c 23.2839
_cell_angle_alpha 90.00
_cell_angle_beta 90.00
_cell_angle_gamma 120.00
_space_group_name_H-M_alt 'R -3 c'
_space_group_IT_number 167
_space_group_name_Hall '-R 3 2"c'
loop_
_atom_site_label
_atom_site_type_symbol
_atom_site_fract_x
_atom_site_fract_y
_atom_site_fract_z
_atom_site_occupancy
K1 K 0.0000 0.3389 0.2500 1
Rh1 Rh 0.0000 0.0000 0.1801 1
Br1 Br 0.0000 0.1611 0.7500 1
Br2 Br 0.0059 0.1741 0.1203 1
# Calculated total energy, eV/atom: -3.33
# Uncorrected formation energy, eV/f.u.: -13.54
# M_tot, μB per cell: 0.0

=====

(4)
# KRh2Br | Alexandria via LeMat-Bulk | GGA-PBE | relaxed
data_KRh2Br
_cell_length_a 3.9825
_cell_length_b 3.9825
_cell_length_c 5.5054
_cell_angle_alpha 90.00
_cell_angle_beta 90.00
_cell_angle_gamma 90.00
_space_group_name_H-M_alt 'P 4/m m m'
_space_group_IT_number 123
_space_group_name_Hall '-P 4 2'
loop_
_atom_site_label
_atom_site_type_symbol
_atom_site_fract_x
_atom_site_fract_y
_atom_site_fract_z
_atom_site_occupancy
K1 K 0.0000 0.0000 0.0000 1
Rh1 Rh 0.0000 0.5000 0.5000 1
Br1 Br 0.5000 0.5000 0.0000 1
# Calculated total energy, eV/atom: -3.80
# Uncorrected formation energy, eV/f.u.: 2.28
# Offset from the most stable computed form, meV/atom: 473
# DOS(E_F), states/eV per cell: 4.37
# M_tot, μB per cell: 2.3

=====

(5)
# KRh2Br | Alexandria via LeMat-Bulk | GGA-PBE | relaxed
data_KRh2Br
_cell_length_a 10.2633
_cell_length_b 3.8612
_cell_length_c 6.9225
_cell_angle_alpha 90.00
_cell_angle_beta 122.57
_cell_angle_gamma 90.00
_space_group_name_H-M_alt 'C 1 2/m 1'
_space_group_IT_number 12
loop_
_space_group_symop_operation_xyz
'x,y,z'
'-x,-y,-z'
'-x,y,-z'
'x,-y,z'
'x+1/2,y+1/2,z'
'-x+1/2,-y+1/2,-z'
'-x+1/2,y+1/2,-z'
'x+1/2,-y+1/2,z'
loop_
_atom_site_label
_atom_site_type_symbol
_atom_site_fract_x
_atom_site_fract_y
_atom_site_fract_z
_atom_site_occupancy
K1 K 0.0000 0.0000 0.0000 1
Rh1 Rh 0.1759 0.5000 0.4974 1
Br1 Br 0.0000 0.0000 0.5000 1
# Calculated total energy, eV/atom: -4.08
# Uncorrected formation energy, eV/f.u.: 1.14
# Offset from the most stable computed form, meV/atom: 189
# DOS(E_F), states/eV per cell: 7.69
# M_tot, μB per cell: 2.8

=====

(6)
# KRhBr | Alexandria via LeMat-Bulk | GGA-PBE | relaxed
data_KRhBr
_cell_length_a 3.5205
_cell_length_b 5.0868
_cell_length_c 9.1111
_cell_angle_alpha 90.00
_cell_angle_beta 90.00
_cell_angle_gamma 90.00
_space_group_name_H-M_alt 'I m m 2'
_space_group_IT_number 44
loop_
_space_group_symop_operation_xyz
'x,y,z'
'-x,-y,z'
'-x,y,z'
'x,-y,z'
'x+1/2,y+1/2,z+1/2'
'-x+1/2,-y+1/2,z+1/2'
'-x+1/2,y+1/2,z+1/2'
'x+1/2,-y+1/2,z+1/2'
loop_
_atom_site_label
_atom_site_type_symbol
_atom_site_fract_x
_atom_site_fract_y
_atom_site_fract_z
_atom_site_occupancy
K1 K 0.0000 0.0000 0.0000 1
Rh1 Rh 0.0000 0.0000 0.3720 1
Br1 Br 0.0000 0.0000 0.6393 1
# Calculated total energy, eV/atom: -3.14
# Uncorrected formation energy, eV/f.u.: 0.69
# Offset from the most stable computed form, meV/atom: 376
# DOS(E_F), states/eV per cell: 9.92
# M_tot, μB per cell: 2.1

=====

(7)
# KRhBr3 | Alexandria via LeMat-Bulk | GGA-PBE | relaxed
data_KRhBr3
_cell_length_a 5.9569
_cell_length_b 5.9569
_cell_length_c 5.9569
_cell_angle_alpha 90.00
_cell_angle_beta 90.00
_cell_angle_gamma 90.00
_space_group_name_H-M_alt 'P m -3 m'
_space_group_IT_number 221
_space_group_name_Hall '-P 4 2 3'
loop_
_atom_site_label
_atom_site_type_symbol
_atom_site_fract_x
_atom_site_fract_y
_atom_site_fract_z
_atom_site_occupancy
K1 K 0.0000 0.0000 0.0000 1
Rh1 Rh 0.5000 0.5000 0.5000 1
Br1 Br 0.0000 0.0000 0.5000 1
# Calculated total energy, eV/atom: -2.21
# Uncorrected formation energy, eV/f.u.: 2.42
# Offset from the most stable computed form, meV/atom: 1227
# DOS(E_F), states/eV per cell: 11.50
# M_tot, μB per cell: 3.1

=====

(8)
# KRhBr3 | Alexandria via LeMat-Bulk | GGA-PBE | relaxed
data_KRhBr3
_cell_length_a 5.1737
_cell_length_b 5.1737
_cell_length_c 5.1737
_cell_angle_alpha 90.00
_cell_angle_beta 90.00
_cell_angle_gamma 90.00
_space_group_name_H-M_alt 'P m -3 m'
_space_group_IT_number 221
_space_group_name_Hall '-P 4 2 3'
loop_
_atom_site_label
_atom_site_type_symbol
_atom_site_fract_x
_atom_site_fract_y
_atom_site_fract_z
_atom_site_occupancy
K1 K 0.0000 0.0000 0.0000 1
Rh1 Rh 0.5000 0.5000 0.5000 1
Br1 Br 0.0000 0.5000 0.5000 1
# Calculated total energy, eV/atom: -3.44
# Uncorrected formation energy, eV/f.u.: -3.72
# Offset from the most stable computed form, meV/atom: 0
# DOS(E_F), states/eV per cell: 3.04
# M_tot, μB per cell: 0.0

=====

(9)
# KRhBr | Alexandria via LeMat-Bulk | GGA-PBE | relaxed
data_KRhBr
_cell_length_a 3.6832
_cell_length_b 3.6832
_cell_length_c 11.4295
_cell_angle_alpha 90.00
_cell_angle_beta 90.00
_cell_angle_gamma 90.00
_space_group_name_H-M_alt 'I 4 m m'
_space_group_IT_number 107
_space_group_name_Hall 'I 4 -2'
loop_
_atom_site_label
_atom_site_type_symbol
_atom_site_fract_x
_atom_site_fract_y
_atom_site_fract_z
_atom_site_occupancy
K1 K 0.0000 0.0000 0.0000 1
Rh1 Rh 0.0000 0.0000 0.7272 1
Br1 Br 0.0000 0.0000 0.2704 1
# Calculated total energy, eV/atom: -3.35
# Uncorrected formation energy, eV/f.u.: 0.06
# Offset from the most stable computed form, meV/atom: 166
# DOS(E_F), states/eV per cell: 3.62
# M_tot, μB per cell: 0.4

=====

(10)
# KRh2Br | Alexandria via LeMat-Bulk | GGA-PBE | relaxed
data_KRh2Br
_cell_length_a 4.6306
_cell_length_b 4.5811
_cell_length_c 5.1933
_cell_angle_alpha 90.00
_cell_angle_beta 97.76
_cell_angle_gamma 90.00
_space_group_name_H-M_alt 'P 1 2/m 1'
_space_group_IT_number 10
loop_
_space_group_symop_operation_xyz
'x,y,z'
'-x,-y,-z'
'-x,y,-z'
'x,-y,z'
loop_
_atom_site_label
_atom_site_type_symbol
_atom_site_fract_x
_atom_site_fract_y
_atom_site_fract_z
_atom_site_occupancy
K1 K 0.0000 0.0000 0.0000 1
Rh1 Rh 0.2564 0.5000 0.5780 1
Br1 Br 0.5000 0.0000 0.5000 1
# Calculated total energy, eV/atom: -3.98
# Uncorrected formation energy, eV/f.u.: 1.55
# Offset from the most stable computed form, meV/atom: 291
# DOS(E_F), states/eV per cell: 3.59
# M_tot, μB per cell: 0.0

=====

(11)
# KRh2Br | Alexandria via LeMat-Bulk | GGA-PBE | relaxed
data_KRh2Br
_cell_length_a 5.6874
_cell_length_b 11.0662
_cell_length_c 3.3474
_cell_angle_alpha 90.00
_cell_angle_beta 126.01
_cell_angle_gamma 90.00
_space_group_name_H-M_alt 'C 1 2/m 1'
_space_group_IT_number 12
loop_
_space_group_symop_operation_xyz
'x,y,z'
'-x,-y,-z'
'-x,y,-z'
'x,-y,z'
'x+1/2,y+1/2,z'
'-x+1/2,-y+1/2,-z'
'-x+1/2,y+1/2,-z'
'x+1/2,-y+1/2,z'
loop_
_atom_site_label
_atom_site_type_symbol
_atom_site_fract_x
_atom_site_fract_y
_atom_site_fract_z
_atom_site_occupancy
K1 K 0.0000 0.0000 0.0000 1
Rh1 Rh 0.2500 0.2500 0.5000 1
Br1 Br 0.0000 0.5000 0.0000 1
# Calculated total energy, eV/atom: -3.84
# Uncorrected formation energy, eV/f.u.: 2.11
# Offset from the most stable computed form, meV/atom: 429
# DOS(E_F), states/eV per cell: 8.84
# M_tot, μB per cell: 4.5

=====

(12)
# KRh2Br | Alexandria via LeMat-Bulk | GGA-PBE | relaxed
data_KRh2Br
_cell_length_a 3.1273
_cell_length_b 3.1273
_cell_length_c 28.3631
_cell_angle_alpha 90.00
_cell_angle_beta 90.00
_cell_angle_gamma 120.00
_space_group_name_H-M_alt 'R -3 m'
_space_group_IT_number 166
_space_group_name_Hall '-R 3 2"'
loop_
_atom_site_label
_atom_site_type_symbol
_atom_site_fract_x
_atom_site_fract_y
_atom_site_fract_z
_atom_site_occupancy
K1 K 0.0000 0.0000 0.0000 1
Rh1 Rh 0.0000 0.0000 0.2358 1
Br1 Br 0.0000 0.0000 0.5000 1
# Calculated total energy, eV/atom: -3.62
# Uncorrected formation energy, eV/f.u.: 3.00
# Offset from the most stable computed form, meV/atom: 652
# DOS(E_F), states/eV per cell: 15.13
# M_tot, μB per cell: 0.0